This record from the Alexandria database describes Tm2BiTe after structural relaxation. The functional is PBE-GGA.

Cell: 4.273 4.273 7.966 Å, 74.44 74.44 60.00°
Element x y z (fractional)
1 Tm 0.253 0.253 0.241
2 Te 0.499 0.499 0.504
3 Bi 0.668 0.668 0.995
4 Tm 0.080 0.080 0.760

**Volume**: 29.9 A^3/atom
**Density of states at the Fermi level**: 3.35 states/eV/f.u.
**Energy relative to the elements, uncorrected**: -0.94 eV per atom
**ΔE to the lowest computed polymorph**: 50.6 meV per atom
**Magnetization**: 0.00 μB per cell
**SG**: R3m